A plane-wave DFT calculation with PBE was carried out for a relaxed structure of NaYZr2Tc.

Output
VASP energy: -27.42 eV per cell
Calculated density: 4.648 Mg/m³
SG: P4/mmm (123)
M_tot: 0.1217 μB/atom
ΔE_f: 1.565 eV/atom
Fermi-level density of states: 7.82 states/eV per cell
V: 28.0 A^3/atom

```
NaYZr2Tc
1.0
-1.066 5.269 -0.214
-4.280 -0.949 -2.059
-2.281 -0.264 4.865
Y Na Tc Zr
1 1 1 2
direct
0.000 0.000 0.000
0.500 0.500 0.500
0.000 0.500 0.000
0.000 0.000 0.500
0.500 0.000 0.000
```